[1]
Below is a relaxed CaInGaPb crystal, with properties calculated at the PBE-GGA level.

Cell: 5.3585 5.3585 5.3585 Å, 60.00 60.00 60.00°
Last column: nearest neighbours and their distance in Å.
Fractional positions:
Pb (0.7500, 0.7500, 0.7500)  4 Ca 3.28, 4 In 3.28
Ca (0.5000, 0.5000, 0.5000)  4 Ga 3.28, 4 Pb 3.28
Ga (0.2500, 0.2500, 0.2500)  4 In 3.28, 4 Ca 3.28
In (0.0000, 0.0000, 0.0000)  4 Pb 3.28, 4 Ga 3.28

ΔH_f (0 K) in eV per atom: -0.189
Volume in A^3/atom: 27.199

[2]
Below is a relaxed Na2SmPuSe4 crystal, with properties calculated at the PBE-GGA level.

Cell: 4.2303 7.3266 7.3912 Å, 109.44 90.00 90.00°
Last column: nearest neighbours and their distance in Å.
Fractional positions:
Na (0.5000, 0.0000, 0.5000)  6 Se 3.06-3.07
Na (0.0000, 0.5000, 0.5000)  6 Se 3.07-3.09
Sm (0.5000, 0.5000, 0.0000)  6 Se 2.94
Pu (0.0000, 0.0000, 0.0000)  6 Se 2.92-2.94
Se (0.5000, 0.2414, 0.2304)  2 Pu 2.92, 1 Sm 2.94, 3 Na 3.07-3.09
Se (0.5000, 0.7586, 0.7696)  2 Pu 2.92, 1 Sm 2.94, 3 Na 3.07-3.09
Se (0.0000, 0.2544, 0.7657)  1 Pu 2.94, 2 Sm 2.94, 3 Na 3.06-3.07
Se (0.0000, 0.7456, 0.2343)  1 Pu 2.94, 2 Sm 2.94, 3 Na 3.06-3.07

Volume in A^3/atom: 27.002
Total DFT energy (no corrections) in eV per atom: -5.99

[3]
Below is a relaxed LiC crystal, with properties calculated at the PBE-GGA level.

Cell: 5.6707 5.6707 3.6495 Å, 90.00 90.00 90.00°
Last column: nearest neighbours and their distance in Å.
Fractional positions:
Li (0.2256, 0.7744, 0.0000)  4 C 2.17-2.29
Li (0.7256, 0.7256, 0.5000)  4 C 2.17-2.29
Li (0.2744, 0.2744, 0.5000)  4 C 2.17-2.29
Li (0.7744, 0.2256, 0.0000)  4 C 2.17-2.29
C (0.4217, 0.4217, 0.0000)  1 C 1.26
C (0.9217, 0.0783, 0.5000)  1 C 1.26
C (0.0783, 0.9217, 0.5000)  1 C 1.26
C (0.5783, 0.5783, 0.0000)  1 C 1.26

ΔH_f (0 K) in eV per atom: 0.170
Volume in A^3/atom: 14.670

[4]
Below is a relaxed Tb2NdHo2Er2 crystal, with properties calculated at the PBE-GGA level.

Cell: 3.4900 8.9613 8.3513 Å, 116.17 90.00 101.23°
Last column: nearest neighbours and their distance in Å.
Fractional positions:
Tb (0.5720, 0.1440, 0.9121)  3 Tb 3.45-3.49, 3 Ho 3.47-3.48, 2 Nd 3.55, 2 Er 3.57-3.60
Tb (0.4280, 0.8560, 0.0879)  3 Tb 3.45-3.49, 3 Ho 3.47-3.48, 2 Nd 3.55, 2 Er 3.57-3.60
Nd (0.0000, 0.0000, 0.5000)  2 Ho 3.42, 2 Nd 3.49, 4 Tb 3.55, 4 Er 3.60
Ho (0.2115, 0.4230, 0.7970)  1 Nd 3.42, 3 Er 3.44-3.52, 3 Tb 3.47-3.48, 4 Ho 3.49-3.50
Ho (0.7885, 0.5770, 0.2030)  1 Nd 3.42, 3 Er 3.44-3.52, 3 Tb 3.47-3.48, 4 Ho 3.49-3.50
Er (0.6498, 0.2996, 0.3913)  3 Ho 3.44-3.52, 4 Er 3.49-3.61, 2 Tb 3.57-3.60, 2 Nd 3.60
Er (0.3502, 0.7004, 0.6087)  3 Ho 3.44-3.52, 4 Er 3.49-3.61, 2 Tb 3.57-3.60, 2 Nd 3.60

ΔH_f (0 K) in eV per atom: 0.149
Volume in A^3/atom: 32.689

[5]
Below is a relaxed Rb2CeThSe4 crystal, with properties calculated at the PBE-GGA level.

Cell: 4.3451 7.5308 8.4552 Å, 107.21 90.00 90.00°
Last column: nearest neighbours and their distance in Å.
Fractional positions:
Rb (0.5000, 0.0000, 0.5000)  6 Se 3.44-3.45
Rb (0.0000, 0.5000, 0.5000)  6 Se 3.48-3.50
Ce (0.5000, 0.5000, 0.0000)  6 Se 3.02-3.03
Th (0.0000, 0.0000, 0.0000)  6 Se 2.96-2.98
Se (0.5000, 0.2294, 0.2033)  2 Th 2.98, 1 Ce 3.03
Se (0.5000, 0.7706, 0.7967)  2 Th 2.98, 1 Ce 3.03
Se (0.0000, 0.2594, 0.7967)  1 Th 2.96, 2 Ce 3.02
Se (0.0000, 0.7406, 0.2033)  1 Th 2.96, 2 Ce 3.02

Volume in A^3/atom: 33.035
Total DFT energy (no corrections) in eV per atom: -5.25

[6]
Below is a relaxed Sm6TeIr3 crystal, with properties calculated at the PBE-GGA level.

Cell: 4.2115 11.9131 12.0208 Å, 107.73 90.00 90.00°
Last column: nearest neighbours and their distance in Å.
Fractional positions:
Sm (0.7500, 0.4630, 0.5934)  4 Ir 2.78-3.09
Sm (0.2500, 0.5370, 0.4066)  4 Ir 2.78-3.09
Sm (0.7500, 0.9311, 0.0969)  3 Ir 2.83-2.86
Sm (0.2500, 0.0689, 0.9031)  3 Ir 2.83-2.86
Sm (0.7500, 0.3855, 0.0299)  4 Ir 2.87-2.95
Sm (0.2500, 0.6145, 0.9701)  4 Ir 2.87-2.95
Sm (0.7500, 0.6913, 0.2678)  3 Ir 2.91-2.99
Sm (0.2500, 0.3087, 0.7322)  3 Ir 2.91-2.99
Sm (0.7500, 0.1450, 0.4417)  2 Ir 2.84
Sm (0.2500, 0.8550, 0.5583)  2 Ir 2.84
Sm (0.7500, 0.7472, 0.7831)  3 Ir 2.78-3.08
Sm (0.2500, 0.2528, 0.2169)  3 Ir 2.78-3.08
Te (0.7500, 0.0729, 0.6801)  7 Sm 3.23-3.42
Te (0.2500, 0.9271, 0.3199)  7 Sm 3.23-3.42
Ir (0.7500, 0.4794, 0.8294)  6 Sm 2.78-2.95
Ir (0.2500, 0.5206, 0.1706)  6 Sm 2.78-2.95
Ir (0.7500, 0.6868, 0.5150)  7 Sm 2.81-3.09
Ir (0.2500, 0.3132, 0.4850)  7 Sm 2.81-3.09
Ir (0.7500, 0.1573, 0.0668)  6 Sm 2.78-2.89
Ir (0.2500, 0.8427, 0.9332)  6 Sm 2.78-2.89

Volume in A^3/atom: 28.723
Total DFT energy (no corrections) in eV per atom: -6.59

[7]
Below is a relaxed La3SmPu2Te6 crystal, with properties calculated at the PBE-GGA level.

Cell: 7.7917 7.7917 7.8494 Å, 99.53 99.53 120.00°
Last column: nearest neighbours and their distance in Å.
Fractional positions:
La (0.1663, 0.8337, 0.5000)  6 Te 3.23-3.24
La (0.8337, 0.1663, 0.5000)  6 Te 3.23-3.24
La (0.5000, 0.5000, 0.5000)  6 Te 3.22-3.24
Sm (0.0000, 0.0000, 0.0000)  6 Te 3.15-3.16
Pu (0.3333, 0.6667, 0.0000)  6 Te 3.14
Pu (0.6667, 0.3333, 0.0000)  6 Te 3.14
Te (0.9200, 0.5854, 0.7604)  2 Pu 3.14, 1 Sm 3.15, 3 La 3.23-3.24
Te (0.7453, 0.7453, 0.2401)  2 Pu 3.14, 1 Sm 3.16, 3 La 3.22-3.23
Te (0.0800, 0.4146, 0.2396)  2 Pu 3.14, 1 Sm 3.15, 3 La 3.23-3.24
Te (0.5854, 0.9200, 0.7604)  2 Pu 3.14, 1 Sm 3.15, 3 La 3.23-3.24
Te (0.2547, 0.2547, 0.7599)  2 Pu 3.14, 1 Sm 3.16, 3 La 3.22-3.23
Te (0.4146, 0.0800, 0.2396)  2 Pu 3.14, 1 Sm 3.15, 3 La 3.23-3.24

Volume in A^3/atom: 32.451
Total DFT energy (no corrections) in eV per atom: -6.98

[8]
Below is a relaxed La2SiBPt6 crystal, with properties calculated at the PBE-GGA level.

Cell: 5.8229 5.8226 6.7535 Å, 115.54 115.54 90.00°
Last column: nearest neighbours and their distance in Å.
Fractional positions:
La (0.7156, 0.2160, 0.4312)  4 Pt 2.97-3.00, 2 B 3.30, 2 Si 3.31
La (0.2155, 0.7160, 0.4311)  4 Pt 2.97-3.00, 2 B 3.30, 2 Si 3.31
Si (0.5683, 0.5688, 0.1365)  5 Pt 2.30-2.38
B (0.0711, 0.0716, 0.1422)  5 Pt 2.13-2.27
Pt (0.7274, 0.7279, 0.9373)  1 B 2.27, 1 Si 2.38
Pt (0.7834, 0.7839, 0.5669)  1 Si 2.30
Pt (0.2100, 0.2105, 0.9373)  1 B 2.27, 1 Si 2.38
Pt (0.7274, 0.2105, 0.9374)  1 B 2.27, 1 Si 2.38
Pt (0.2703, 0.2708, 0.5406)  1 B 2.13
Pt (0.2100, 0.7279, 0.9374)  1 B 2.27, 1 Si 2.38

Volume in A^3/atom: 18.150
Total DFT energy (no corrections) in eV per atom: -6.81

[9]
Below is a relaxed Pr8NdEr3 crystal, with properties calculated at the PBE-GGA level.

Cell: 6.7478 8.9004 12.3700 Å, 90.36 137.75 68.44°
Last column: nearest neighbours and their distance in Å.
Fractional positions:
Pr (0.7310, 0.5630, 0.0115)  3 Er 3.47-3.51, 6 Pr 3.52-3.71, 1 Nd 3.87
Pr (0.5657, 0.8987, 0.7596)  2 Er 3.35-3.75, 1 Nd 3.52, 5 Pr 3.52-3.74
Pr (0.0509, 0.0813, 0.8084)  6 Pr 3.49-3.91, 4 Er 3.60-3.90, 1 Nd 3.86
Pr (0.1601, 0.2548, 0.4070)  5 Pr 3.50-3.65, 4 Er 3.56-3.72, 1 Nd 3.77
Pr (0.8361, 0.7387, 0.5934)  5 Pr 3.51-3.64, 3 Er 3.56-3.74, 2 Nd 3.58-3.65
Pr (0.9450, 0.9150, 0.1852)  6 Pr 3.49-3.89, 3 Er 3.56-3.82, 1 Nd 3.69
Pr (0.2730, 0.4279, 0.9914)  3 Er 3.48-3.85, 7 Pr 3.50-3.90, 1 Nd 3.51
Pr (0.4460, 0.0936, 0.2461)  2 Er 3.36-3.53, 4 Pr 3.50-3.71
Nd (0.3907, 0.5869, 0.5835)  3 Er 3.41-3.52, 6 Pr 3.51-3.77
Er (0.4803, 0.2790, 0.8083)  7 Pr 3.35-3.72, 1 Nd 3.46, 1 Er 3.52
Er (0.6024, 0.4150, 0.4127)  1 Nd 3.41, 2 Er 3.42-3.52, 7 Pr 3.48-3.82
Er (0.5170, 0.7159, 0.1897)  8 Pr 3.36-3.75, 1 Er 3.42, 1 Nd 3.52

ΔH_f (0 K) in eV per atom: 0.066
Volume in A^3/atom: 35.041

[10]
Below is a relaxed Dy4ErTe2 crystal, with properties calculated at the PBE-GGA level.

Cell: 5.4101 5.4101 9.3706 Å, 73.22 73.22 60.00°
Last column: nearest neighbours and their distance in Å.
Fractional positions:
Dy (0.7346, 0.7346, 0.7962)  4 Te 3.13-3.16, 1 Dy 3.48
Dy (0.8659, 0.8659, 0.4022)  3 Er 3.24, 7 Dy 3.48-3.58
Dy (0.2654, 0.2654, 0.2038)  4 Te 3.13-3.16, 1 Dy 3.48
Dy (0.1341, 0.1341, 0.5978)  3 Er 3.24, 7 Dy 3.48-3.58
Er (0.5000, 0.5000, 0.5000)  2 Te 3.09, 6 Dy 3.24
Te (0.6167, 0.6167, 0.1500)  1 Er 3.09, 4 Dy 3.13-3.16
Te (0.3833, 0.3833, 0.8500)  1 Er 3.09, 4 Dy 3.13-3.16

Volume in A^3/atom: 31.992
Total DFT energy (no corrections) in eV per atom: -4.68

[11]
Below is a relaxed Co2HgBr crystal, with properties calculated at the PBE-GGA level.

Cell: 5.9351 5.9351 6.5955 Å, 63.26 63.26 90.00°
Last column: nearest neighbours and their distance in Å.
Fractional positions:
Co (0.5867, 0.1250, 0.2500)  2 Br 2.32, 2 Hg 2.60
Co (0.1633, 0.6250, 0.2500)  2 Br 2.32, 2 Hg 2.60
Co (0.3750, 0.4133, 0.7500)  2 Br 2.32, 2 Hg 2.60
Co (0.8750, 0.8367, 0.7500)  2 Br 2.32, 2 Hg 2.60
Hg (0.0000, 0.0000, 0.0000)  4 Co 2.60
Hg (0.7500, 0.2500, 0.5000)  4 Co 2.60
Br (0.5000, 0.5000, 0.0000)  4 Co 2.32
Br (0.2500, 0.7500, 0.5000)  4 Co 2.32

Volume in A^3/atom: 22.403
Total DFT energy (no corrections) in eV per atom: -3.27

[12]
Below is a relaxed Eu3Hf5H12 crystal, with properties calculated at the PBE-GGA level.

Cell: 10.7952 10.7952 10.7952 Å, 109.47 109.47 109.47°
Last column: nearest neighbours and their distance in Å.
Fractional positions:
Eu (0.7500, 0.3750, 0.1250)  8 H 2.29-2.38
Eu (0.8750, 0.7500, 0.1250)  8 H 2.29-2.38
Eu (0.3750, 0.7500, 0.6250)  8 H 2.29-2.38
Eu (0.2500, 0.1250, 0.3750)  8 H 2.29-2.38
Eu (0.8750, 0.1250, 0.2500)  8 H 2.29-2.38
Eu (0.3750, 0.6250, 0.2500)  8 H 2.29-2.38
Eu (0.6250, 0.3750, 0.7500)  8 H 2.29-2.38
Eu (0.1250, 0.8750, 0.7500)  8 H 2.29-2.38
Eu (0.7500, 0.8750, 0.6250)  8 H 2.29-2.38
Eu (0.6250, 0.2500, 0.3750)  8 H 2.29-2.38
Eu (0.1250, 0.2500, 0.8750)  8 H 2.29-2.38
Eu (0.2500, 0.6250, 0.8750)  8 H 2.29-2.38
Hf (0.1250, 0.3750, 0.2500)  4 H 2.01
Hf (0.0000, 0.5000, 0.0000)  6 H 2.02
Hf (0.0000, 0.0000, 0.0000)  6 H 2.02
Hf (0.3750, 0.2500, 0.1250)  4 H 2.01
Hf (0.5000, 0.0000, 0.5000)  6 H 2.02
Hf (0.5000, 0.5000, 0.0000)  6 H 2.02
Hf (0.1250, 0.7500, 0.3750)  4 H 2.01
Hf (0.7500, 0.1250, 0.8750)  4 H 2.01
Hf (0.7500, 0.6250, 0.3750)  4 H 2.01
Hf (0.3750, 0.1250, 0.7500)  4 H 2.01
Hf (0.6250, 0.8750, 0.2500)  4 H 2.01
Hf (0.5000, 0.5000, 0.5000)  6 H 2.02
Hf (0.5000, 0.0000, 0.0000)  6 H 2.02
Hf (0.0000, 0.0000, 0.5000)  6 H 2.02
Hf (0.2500, 0.3750, 0.6250)  4 H 2.01
Hf (0.2500, 0.8750, 0.1250)  4 H 2.01
Hf (0.0000, 0.5000, 0.5000)  6 H 2.02
Hf (0.8750, 0.2500, 0.6250)  4 H 2.01
Hf (0.6250, 0.7500, 0.8750)  4 H 2.01
Hf (0.8750, 0.6250, 0.7500)  4 H 2.01
H (0.7104, 0.1335, 0.0463)  2 Hf 2.01-2.02
H (0.3358, 0.5463, 0.4127)  2 Hf 2.01-2.02
H (0.9537, 0.3665, 0.2896)  2 Hf 2.01-2.02
H (0.5463, 0.2104, 0.1335)  2 Hf 2.01-2.02
H (0.5769, 0.7104, 0.6642)  2 Hf 2.01-2.02
H (0.9537, 0.5873, 0.1642)  2 Hf 2.01-2.02
H (0.3358, 0.7896, 0.4231)  2 Hf 2.01-2.02
H (0.0873, 0.9231, 0.1335)  2 Hf 2.01-2.02
H (0.5873, 0.9537, 0.6642)  2 Hf 2.01-2.02
H (0.7104, 0.5769, 0.1642)  2 Hf 2.01-2.02
H (0.7896, 0.4537, 0.3665)  2 Hf 2.01-2.02
H (0.8358, 0.9127, 0.0463)  2 Hf 2.01-2.02
H (0.1335, 0.7104, 0.5463)  2 Hf 2.01-2.02
H (0.3665, 0.4127, 0.0769)  2 Hf 2.01-2.02
H (0.0769, 0.9127, 0.3665)  2 Hf 2.01-2.02
H (0.4231, 0.1335, 0.5873)  2 Hf 2.01-2.02
H (0.0769, 0.1642, 0.2104)  2 Hf 2.01-2.02
H (0.4537, 0.6642, 0.0873)  2 Hf 2.01-2.02
H (0.8358, 0.9231, 0.2896)  2 Hf 2.01-2.02
H (0.1335, 0.4231, 0.0873)  2 Hf 2.01-2.02
H (0.3665, 0.9537, 0.7896)  2 Hf 2.01-2.02
H (0.5873, 0.6335, 0.4231)  2 Hf 2.01-2.02
H (0.9127, 0.8358, 0.5463)  2 Hf 2.01-2.02
H (0.7896, 0.3358, 0.9231)  2 Hf 2.01-2.02
H (0.4127, 0.3665, 0.5769)  2 Hf 2.01-2.02
H (0.0873, 0.1642, 0.4537)  2 Hf 2.01-2.02
H (0.2104, 0.6642, 0.0769)  2 Hf 2.01-2.02
H (0.1642, 0.0769, 0.7104)  2 Hf 2.01-2.02
H (0.6335, 0.0463, 0.2104)  2 Hf 2.01-2.02
H (0.8665, 0.5769, 0.9127)  2 Hf 2.01-2.02
H (0.5463, 0.3358, 0.9127)  2 Hf 2.01-2.02
H (0.5769, 0.8665, 0.4127)  2 Hf 2.01-2.02
H (0.9231, 0.8358, 0.7896)  2 Hf 2.01-2.02
H (0.9231, 0.0873, 0.6335)  2 Hf 2.01-2.02
H (0.8665, 0.2896, 0.4537)  2 Hf 2.01-2.02
H (0.1642, 0.0873, 0.9537)  2 Hf 2.01-2.02
H (0.6335, 0.5873, 0.9231)  2 Hf 2.01-2.02
H (0.4127, 0.0463, 0.3358)  2 Hf 2.01-2.02
H (0.2896, 0.4231, 0.8358)  2 Hf 2.01-2.02
H (0.2104, 0.5463, 0.6335)  2 Hf 2.01-2.02
H (0.9127, 0.0769, 0.8665)  2 Hf 2.01-2.02
H (0.6642, 0.2104, 0.5769)  2 Hf 2.01-2.02
H (0.4537, 0.7896, 0.8665)  2 Hf 2.01-2.02
H (0.0463, 0.4127, 0.8358)  2 Hf 2.01-2.02
H (0.4231, 0.2896, 0.3358)  2 Hf 2.01-2.02
H (0.0463, 0.6335, 0.7104)  2 Hf 2.01-2.02
H (0.6642, 0.4537, 0.5873)  2 Hf 2.01-2.02
H (0.2896, 0.8665, 0.9537)  2 Hf 2.01-2.02

Volume in A^3/atom: 12.105
Total DFT energy (no corrections) in eV per atom: -6.33

- Look up the volume of the sixth one.
  28.723 A^3/atom

Please write out number 7 again, unchanged.
Below is a relaxed La3SmPu2Te6 crystal, with properties calculated at the PBE-GGA level.

Cell: 7.7917 7.7917 7.8494 Å, 99.53 99.53 120.00°
Last column: nearest neighbours and their distance in Å.
Fractional positions:
La (0.1663, 0.8337, 0.5000)  6 Te 3.23-3.24
La (0.8337, 0.1663, 0.5000)  6 Te 3.23-3.24
La (0.5000, 0.5000, 0.5000)  6 Te 3.22-3.24
Sm (0.0000, 0.0000, 0.0000)  6 Te 3.15-3.16
Pu (0.3333, 0.6667, 0.0000)  6 Te 3.14
Pu (0.6667, 0.3333, 0.0000)  6 Te 3.14
Te (0.9200, 0.5854, 0.7604)  2 Pu 3.14, 1 Sm 3.15, 3 La 3.23-3.24
Te (0.7453, 0.7453, 0.2401)  2 Pu 3.14, 1 Sm 3.16, 3 La 3.22-3.23
Te (0.0800, 0.4146, 0.2396)  2 Pu 3.14, 1 Sm 3.15, 3 La 3.23-3.24
Te (0.5854, 0.9200, 0.7604)  2 Pu 3.14, 1 Sm 3.15, 3 La 3.23-3.24
Te (0.2547, 0.2547, 0.7599)  2 Pu 3.14, 1 Sm 3.16, 3 La 3.22-3.23
Te (0.4146, 0.0800, 0.2396)  2 Pu 3.14, 1 Sm 3.15, 3 La 3.23-3.24

Volume in A^3/atom: 32.451
Total DFT energy (no corrections) in eV per atom: -6.98

- Which of these has the highest volume?
  Pr8NdEr3